Density functional theory data (GGA-PBEsol) for an optimized crystal structure of Eu3V2O7.

extended XYZ file:
```
12
Lattice="-1.8938 1.8938 9.8778 1.8938 -1.8938 9.8778 1.8938 1.8938 -9.8778" Properties=species:S:1:pos:R:3 pbc="T T T"
Eu 0.0000 0.0000 0.0000
Eu 0.0000 0.0000 3.6337
Eu 0.0000 0.0000 16.1219
V 0.0000 0.0000 7.9755
V 0.0000 0.0000 11.7801
O 1.8938 0.0000 1.9120
O 0.0000 0.0000 5.9697
O 1.8938 0.0000 7.9657
O 0.0000 0.0000 9.8778
O 0.0000 1.8938 1.9120
O 0.0000 0.0000 13.7858
O 0.0000 1.8938 7.9657
```

Calculated values
As for the raw formation energy: -2.89 eV/atom. The spin magnetization is 20.2 μB per cell.

***

Density functional theory data (GGA-PBEsol) for an optimized crystal structure of Eu2VO4.

extended XYZ file:
```
7
Lattice="-1.8916 1.8916 6.1124 1.8916 -1.8916 6.1124 1.8916 1.8916 -6.1124" Properties=species:S:1:pos:R:3 pbc="T T T"
Eu 0.0000 0.0000 1.7591
Eu 0.0000 0.0000 10.4657
V 0.0000 0.0000 6.1124
O 1.8916 0.0000 0.0000
O 0.0000 0.0000 4.0998
O 0.0000 1.8916 0.0000
O 0.0000 0.0000 8.1250
```

Calculated values
As for the raw formation energy: -2.90 eV/atom. The spin magnetization is 14.7 μB per cell.

***

Density functional theory data (GGA-PBEsol) for an optimized crystal structure of Eu2V2O5.

extended XYZ file:
```
18
Lattice="-2.6899 7.5632 2.6813 2.6899 -7.5632 2.6813 2.6899 7.5632 -2.6813" Properties=species:S:1:pos:R:3 pbc="T T T"
Eu 0.0000 1.8256 0.0078
Eu 0.0000 5.7375 0.0078
Eu 2.6899 1.8256 2.6735
Eu 2.6899 5.7375 2.6735
V 2.6899 0.0000 0.0000
V 2.6899 3.7816 0.0403
V 0.0000 0.0000 2.6813
V 0.0000 3.7816 2.6410
O 2.6899 1.9436 -0.2111
O 1.3449 7.7083 -1.3406
O 1.3449 0.1451 1.3406
O 2.6899 5.6195 -0.2111
O -1.3449 3.7816 1.3406
O 1.3449 3.7816 1.3406
O 0.0000 1.9436 2.8923
O -1.3449 7.4180 1.3406
O 1.3449 7.4180 1.3406
O 0.0000 5.6195 2.8923
```

Calculated values
As for the raw formation energy: -2.62 eV/atom. The spin magnetization is 25.8 μB per cell.

***

Density functional theory data (GGA-PBEsol) for an optimized crystal structure of Eu2ZnWO6.

extended XYZ file:
```
10
Lattice="0.0000 3.9477 3.9477 3.9477 0.0000 3.9477 3.9477 3.9477 0.0000" Properties=species:S:1:pos:R:3 pbc="T T T"
Eu 1.9739 1.9739 1.9739
Eu 5.9216 5.9216 5.9216
Zn 0.0000 0.0000 0.0000
W 3.9477 3.9477 3.9477
O 3.9477 3.9477 2.0268
O 3.9477 2.0268 3.9477
O 5.8687 3.9477 3.9477
O 2.0268 3.9477 3.9477
O 3.9477 5.8687 3.9477
O 3.9477 3.9477 5.8687
```

Calculated values
As for the raw formation energy: -2.44 eV/atom. The spin magnetization is 14.0 μB per cell.

***

Density functional theory data (GGA-PBEsol) for an optimized crystal structure of EuZr4O9.

extended XYZ file:
```
14
Lattice="-1.7578 9.3619 2.5764 1.7578 -9.3619 2.5764 1.7578 9.3619 -2.5764" Properties=species:S:1:pos:R:3 pbc="T T T"
Eu 0.0000 0.0000 0.0000
Zr 1.7578 -5.6765 2.2475
Zr 1.7578 -2.0914 2.2586
Zr 1.7578 2.0914 2.2586
Zr 1.7578 5.6765 2.2475
O 1.7578 7.2938 -1.5296
O 0.0000 2.0681 1.0469
O 1.7578 0.0000 1.7409
O 1.7578 3.8119 0.9688
O 0.0000 5.6048 0.9765
O 1.7578 7.5098 1.0195
O 0.0000 1.8521 3.5959
O 0.0000 13.1189 0.9765
O 0.0000 5.5500 3.5453
```

Calculated values
As for the raw formation energy: -3.36 eV/atom. The spin magnetization is 7.0 μB per cell.

***

Density functional theory data (GGA-PBEsol) for an optimized crystal structure of EuP2Os2.

extended XYZ file:
```
5
Lattice="-2.0309 2.0309 4.9316 2.0309 -2.0309 4.9316 2.0309 2.0309 -4.9316" Properties=species:S:1:pos:R:3 pbc="T T T"
Eu 0.0000 0.0000 0.0000
P 0.0000 0.0000 3.6300
P 0.0000 0.0000 6.2333
Os 2.0309 0.0000 2.4658
Os 0.0000 2.0309 2.4658
```

Calculated values
The formation energy is -743 meV per atom. The spin magnetization is 6.8 μB per cell.

***

Density functional theory data (GGA-PBEsol) for an optimized crystal structure of EuSb12Os4.

extended XYZ file:
```
17
Lattice="-4.6543 4.6543 4.6543 4.6543 -4.6543 4.6543 4.6543 4.6543 -4.6543" Properties=species:S:1:pos:R:3 pbc="T T T"
Eu 0.0000 0.0000 0.0000
Sb 3.1701 0.0000 1.4655
Sb 6.1385 0.0000 1.4655
Sb 4.6543 3.1888 -1.4842
Sb 1.4655 3.1701 0.0000
Sb 3.1888 -1.4842 4.6543
Sb 0.0000 1.4655 3.1701
Sb 4.6543 3.1888 1.4842
Sb 1.4655 6.1385 0.0000
Sb 3.1888 1.4842 4.6543
Sb 0.0000 1.4655 6.1385
Sb -1.4842 4.6543 3.1888
Sb 1.4842 4.6543 3.1888
Os 2.3272 2.3272 -2.3272
Os 2.3272 -2.3272 2.3272
Os -2.3272 2.3272 2.3272
Os 2.3272 2.3272 2.3272
```

Calculated values
As for the raw formation energy: -0.18 eV/atom. The spin magnetization is 6.1 μB per cell.

***

Density functional theory data (GGA-PBEsol) for an optimized crystal structure of EuP.

extended XYZ file:
```
2
Lattice="0.0000 2.8920 2.8920 2.8920 0.0000 2.8920 2.8920 2.8920 0.0000" Properties=species:S:1:pos:R:3 pbc="T T T"
Eu 0.0000 0.0000 0.0000
P 2.8920 2.8920 2.8920
```

Calculated values
The formation energy is -1114 meV per atom. The spin magnetization is 6.3 μB per cell.

***

The highest spin magnetization belongs to which entry? Eu2V2O5

***

The lowest spin magnetization belongs to which entry? EuSb12Os4